DFT (GGA-PBE) results for crystalline BeHgBr2 at its relaxed geometry.

Lattice parameters (Å, degrees): 5.114 5.114 3.634 90.00 90.00 90.00
Space group P4/mmm (No. 123)
Inequivalent atoms, fractional coordinates:
Be 0.000 0.000 0.000 [1 per cell]
Hg 0.500 0.500 0.000 [1 per cell]
Br 0.000 0.500 0.500 [2 per cell]

Calculated values
formation energy (no corrections) = 0.489 eV/atom

***

DFT (GGA-PBE) results for crystalline BeHgBr2 at its relaxed geometry.

Lattice parameters (Å, degrees): 8.000 7.917 4.395 90.00 116.32 90.00
Space group C2/m (No. 12)
Inequivalent atoms, fractional coordinates:
Be 0.000 0.000 0.000 [2 per cell]
Hg 0.000 0.500 0.000 [2 per cell]
Br 0.250 0.250 0.000 [4 per cell]

Calculated values
formation energy (no corrections) = 0.339 eV/atom